VASP calculation (GGA-PBEsol) on an optimized crystal structure of Zr2Te.

Unit cell a=3.572 b=3.572 c=6.435 alpha=90.00 beta=90.00 gamma=120.00
Element x y z (fractional)
Zr (0.333, 0.667, 0.323)
Zr (0.667, 0.333, 0.677)
Te (0.000, 0.000, 0.000)

Output
Its total magnetization is 0.000 Bohr magnetons per cell. The value obtained for the uncorrected formation energy is -1.45 eV/f.u.